# NiTe2Pt

Crystalline NiTe2Pt at its relaxed geometry (PBE, Alexandria via LeMat-Bulk).

## Properties
Excess energy over the best structure of this formula in the dataset = 330 meV/atom
Formation energy without anion corrections = 0.36 eV per formula unit
Density = 9.93 g cm⁻³
Size of the total moment = 0.000 μB/cell
Calculated total energy = -17.74 eV per cell

```
NiTe2Pt
1.0
-1.6677 -3.3046 0.8297
3.4484 -2.3370 -2.3768
3.2891 -0.8066 3.3987
Ni Pt Te
1 1 2
Direct
0.5000 0.2500 0.2500 Ni
0.5000 0.7500 0.7500 Pt
0.0000 0.0076 0.0076 Te
0.0000 0.4924 0.4924 Te
```

# Ni2TePt

Crystalline Ni2TePt at its relaxed geometry (PBE, Alexandria via LeMat-Bulk).

## Properties
Excess energy over the best structure of this formula in the dataset = 5 meV/atom
Formation energy without anion corrections = 0.11 eV per formula unit
Density = 12.31 g cm⁻³
Size of the total moment = 0.000 μB/cell
Calculated total energy = -20.64 eV per cell

```
Ni2TePt
1.0
-3.4544 -2.5064 0.9796
-3.8035 0.6022 -2.0846
-1.4214 -2.9873 -2.8688
Ni Te Pt
2 1 1
Direct
0.2500 0.2500 0.2500 Ni
0.7500 0.7500 0.7500 Ni
0.0000 0.0000 0.0000 Te
0.5000 0.5000 0.5000 Pt
```

# NiTePt

Crystalline NiTePt at its relaxed geometry (PBE, Alexandria via LeMat-Bulk).

## Properties
Formation energy without anion corrections = -0.09 eV per formula unit
Density = 11.62 g cm⁻³
Size of the total moment = 0.000 μB/cell
Calculated total energy = -15.05 eV per cell

```
NiTePt
1.0
4.2551 0.0000 0.0000
2.1275 3.6850 0.0000
2.1275 1.2283 3.4743
Ni Pt Te
1 1 1
Direct
0.7500 0.7500 0.7500 Ni
0.0000 0.0000 0.0000 Pt
0.5000 0.5000 0.5000 Te
```

# NiTe2Pt

Crystalline NiTe2Pt at its relaxed geometry (PBE, Alexandria via LeMat-Bulk).

## Properties
Excess energy over the best structure of this formula in the dataset = 140 meV/atom
Formation energy without anion corrections = -0.40 eV per formula unit
Density = 8.38 g cm⁻³
Size of the total moment = 0.000 μB/cell
Calculated total energy = -37.01 eV per cell

```
NiTe2Pt
1.0
5.8933 0.0000 0.0000
0.0000 5.8933 0.0000
2.9467 2.9467 5.8054
Ni Te Pt
2 4 2
Direct
0.5000 0.5000 0.0000 Ni
0.2500 0.7500 0.5000 Ni
0.6036 0.1250 0.2500 Te
0.1464 0.6250 0.2500 Te
0.3750 0.3964 0.7500 Te
0.8750 0.8536 0.7500 Te
0.0000 0.0000 0.0000 Pt
0.7500 0.2500 0.5000 Pt
```

# NiTe2Pt

Crystalline NiTe2Pt at its relaxed geometry (PBE, Alexandria via LeMat-Bulk).

## Properties
Excess energy over the best structure of this formula in the dataset = 46 meV/atom
Formation energy without anion corrections = -0.77 eV per formula unit
Density = 9.77 g cm⁻³
Size of the total moment = 0.000 μB/cell
Calculated total energy = -18.88 eV per cell

```
NiTe2Pt
1.0
4.6094 0.0000 0.0000
0.0000 4.4632 0.0228
0.0000 1.4828 4.2141
Ni Pt Te
1 1 2
Direct
0.0000 0.5227 0.5223 Ni
0.5000 0.7207 0.7211 Pt
0.0000 0.9061 0.9059 Te
0.5000 0.3505 0.3507 Te
```

# Ni2TePt

Crystalline Ni2TePt at its relaxed geometry (PBE, Alexandria via LeMat-Bulk).

## Properties
Excess energy over the best structure of this formula in the dataset = 64 meV/atom
Formation energy without anion corrections = 0.34 eV per formula unit
Density = 11.96 g cm⁻³
Size of the total moment = 0.000 μB/cell
Calculated total energy = -20.40 eV per cell

```
Ni2TePt
1.0
3.3931 0.0000 0.0000
0.0000 3.3952 0.0000
0.0000 0.0000 5.3033
Ni Pt Te
2 1 1
Direct
0.0000 0.0000 0.0036 Ni
0.5000 0.5000 0.2453 Ni
0.0000 0.0000 0.4767 Pt
0.5000 0.5000 0.7744 Te
```